1.
Entry from Alexandria via LeMat-Bulk: crystalline LiCrRe at its relaxed geometry (GGA-PBEsol).

## Properties
Symmetry: Imm2 (44)
DFT total energy, eV per atom: -8.1550
Formation energy, eV/atom: 0.359
M_tot, μB per cell: 0.00

Lattice parameters (Å, degrees): 2.4603 4.1553 7.3673 90.00 90.00 90.00
Last column: nearest neighbours and their distance in Å.
Atoms (fractional coordinates):
Li (0.0000, 0.0000, 0.0000)  2 Li 2.46, 5 Cr 2.46-2.70, 5 Re 2.48-2.70
Li (0.5000, 0.5000, 0.5000)  2 Li 2.46, 5 Cr 2.46-2.70, 5 Re 2.48-2.70
Cr (0.0000, 0.0000, 0.6655)  1 Re 2.42, 2 Cr 2.46, 5 Li 2.46-2.70
Cr (0.5000, 0.5000, 0.1655)  1 Re 2.42, 2 Cr 2.46, 5 Li 2.46-2.70
Re (0.0000, 0.0000, 0.3367)  1 Cr 2.42, 2 Re 2.46, 5 Li 2.48-2.70
Re (0.5000, 0.5000, 0.8367)  1 Cr 2.42, 2 Re 2.46, 5 Li 2.48-2.70

***

2.
Entry from Alexandria via LeMat-Bulk: crystalline LiCr2Re at its relaxed geometry (GGA-PBEsol).

## Properties
Symmetry: R-3m (166)
DFT total energy, eV per atom: -8.4337
Formation energy, eV/atom: 0.512
M_tot, μB per cell: 0.00

Lattice parameters (Å, degrees): 2.6261 2.6261 26.9760 90.00 90.00 120.00
Last column: nearest neighbours and their distance in Å.
Atoms (fractional coordinates):
Li (0.0000, 0.0000, 0.0000)  6 Li 2.63, 6 Cr 2.81
Li (0.3333, 0.6667, 0.6667)  6 Li 2.63, 6 Cr 2.81
Li (0.6667, 0.3333, 0.3333)  6 Li 2.63, 6 Cr 2.81
Cr (0.0000, 0.0000, 0.2457)  3 Re 2.62, 6 Cr 2.63, 3 Li 2.81
Cr (0.0000, 0.0000, 0.7543)  3 Re 2.62, 6 Cr 2.63, 3 Li 2.81
Cr (0.3333, 0.6667, 0.4209)  3 Re 2.62, 6 Cr 2.63, 3 Li 2.81
Cr (0.3333, 0.6667, 0.9124)  3 Re 2.62, 6 Cr 2.63, 3 Li 2.81
Cr (0.6667, 0.3333, 0.0876)  3 Re 2.62, 6 Cr 2.63, 3 Li 2.81
Cr (0.6667, 0.3333, 0.5791)  3 Re 2.62, 6 Cr 2.63, 3 Li 2.81
Re (0.0000, 0.0000, 0.5000)  6 Cr 2.62, 6 Re 2.63
Re (0.3333, 0.6667, 0.1667)  6 Cr 2.62, 6 Re 2.63
Re (0.6667, 0.3333, 0.8333)  6 Cr 2.62, 6 Re 2.63

***

3.
Entry from Alexandria via LeMat-Bulk: crystalline LiCr2Re at its relaxed geometry (GGA-PBEsol).

## Properties
Symmetry: Cmmm (65)
DFT total energy, eV per atom: -8.5418
Formation energy, eV/atom: 0.404
M_tot, μB per cell: 0.00

Lattice parameters (Å, degrees): 2.9316 4.1734 8.6326 90.00 90.00 90.00
Last column: nearest neighbours and their distance in Å.
Atoms (fractional coordinates):
Li (0.0000, 0.0000, 0.0000)  4 Li 2.55, 4 Cr 2.69
Li (0.5000, 0.5000, 0.0000)  4 Li 2.55, 4 Cr 2.69
Cr (0.0000, 0.5000, 0.2620)  2 Re 2.52, 4 Cr 2.55, 2 Li 2.69
Cr (0.0000, 0.5000, 0.7380)  2 Re 2.52, 4 Cr 2.55, 2 Li 2.69
Cr (0.5000, 0.0000, 0.2620)  2 Re 2.52, 4 Cr 2.55, 2 Li 2.69
Cr (0.5000, 0.0000, 0.7380)  2 Re 2.52, 4 Cr 2.55, 2 Li 2.69
Re (0.0000, 0.0000, 0.5000)  4 Cr 2.52, 4 Re 2.55
Re (0.5000, 0.5000, 0.5000)  4 Cr 2.52, 4 Re 2.55

***

4.
Entry from Alexandria via LeMat-Bulk: crystalline LiCr2Re at its relaxed geometry (GGA-PBEsol).

## Properties
Symmetry: P4/mmm (123)
DFT total energy, eV per atom: -8.5035
Formation energy, eV/atom: 0.442
M_tot, μB per cell: 2.21

Lattice parameters (Å, degrees): 2.9828 2.9828 5.5276 90.00 90.00 90.00
Last column: nearest neighbours and their distance in Å.
Atoms (fractional coordinates):
Li (0.0000, 0.0000, 0.0000)  8 Cr 2.50, 2 Re 2.76
Cr (0.5000, 0.5000, 0.2436)  4 Li 2.50, 4 Re 2.54, 1 Cr 2.69
Cr (0.5000, 0.5000, 0.7564)  4 Li 2.50, 4 Re 2.54, 1 Cr 2.69
Re (0.0000, 0.0000, 0.5000)  8 Cr 2.54, 2 Li 2.76

***

5.
Entry from Alexandria via LeMat-Bulk: crystalline Li2CrRh at its relaxed geometry (GGA-PBEsol).

## Properties
Symmetry: Pmmm (47)
DFT total energy, eV per atom: -5.2715
Formation energy, eV/atom: 0.307
M_tot, μB per cell: 1.31

Lattice parameters (Å, degrees): 2.5541 4.3115 4.6656 90.00 90.00 90.00
Last column: nearest neighbours and their distance in Å.
Atoms (fractional coordinates):
Li (0.0000, 0.0000, 0.2409)  2 Li 2.25-2.42
Li (0.0000, 0.0000, 0.7591)  2 Li 2.25-2.42
Cr (0.5000, 0.5000, 0.5000)  2 Rh 2.33, 2 Cr 2.55
Rh (0.5000, 0.5000, 0.0000)  2 Cr 2.33, 2 Rh 2.55

***

6.
Entry from Alexandria via LeMat-Bulk: crystalline Li2CrRh at its relaxed geometry (GGA-PBEsol).

## Properties
Symmetry: Cmmm (65)
DFT total energy, eV per atom: -5.2982
Formation energy, eV/atom: 0.280
M_tot, μB per cell: 0.46

Lattice parameters (Å, degrees): 2.6559 4.2463 9.1012 90.00 90.00 90.00
Last column: nearest neighbours and their distance in Å.
Atoms (fractional coordinates):
Li (0.0000, 0.0000, 0.2396)  6 Li 2.50-2.66, 2 Rh 2.55, 2 Cr 2.72
Li (0.0000, 0.0000, 0.7604)  6 Li 2.50-2.66, 2 Rh 2.55, 2 Cr 2.72
Li (0.5000, 0.5000, 0.2396)  6 Li 2.50-2.66, 2 Rh 2.55, 2 Cr 2.72
Li (0.5000, 0.5000, 0.7604)  6 Li 2.50-2.66, 2 Rh 2.55, 2 Cr 2.72
Cr (0.0000, 0.5000, 0.5000)  6 Cr 2.50-2.66, 4 Li 2.72
Cr (0.5000, 0.0000, 0.5000)  6 Cr 2.50-2.66, 4 Li 2.72
Rh (0.0000, 0.5000, 0.0000)  6 Rh 2.50-2.66, 4 Li 2.55
Rh (0.5000, 0.0000, 0.0000)  6 Rh 2.50-2.66, 4 Li 2.55

***

7.
Entry from Alexandria via LeMat-Bulk: crystalline LiCrRh2 at its relaxed geometry (GGA-PBEsol).

## Properties
Symmetry: R-3m (166)
DFT total energy, eV per atom: -7.1806
Formation energy, eV/atom: -0.059
M_tot, μB per cell: 0.00

Lattice parameters (Å, degrees): 2.6497 2.6497 25.4433 90.00 90.00 120.00
Last column: nearest neighbours and their distance in Å.
Atoms (fractional coordinates):
Li (0.0000, 0.0000, 0.0000)  6 Li 2.65, 6 Rh 2.71
Li (0.3333, 0.6667, 0.6667)  6 Li 2.65, 6 Rh 2.71
Li (0.6667, 0.3333, 0.3333)  6 Li 2.65, 6 Rh 2.71
Cr (0.0000, 0.0000, 0.5000)  6 Rh 2.52, 6 Cr 2.65
Cr (0.3333, 0.6667, 0.1667)  6 Rh 2.52, 6 Cr 2.65
Cr (0.6667, 0.3333, 0.8333)  6 Rh 2.52, 6 Cr 2.65
Rh (0.0000, 0.0000, 0.2454)  3 Cr 2.52, 6 Rh 2.65, 3 Li 2.71
Rh (0.0000, 0.0000, 0.7546)  3 Cr 2.52, 6 Rh 2.65, 3 Li 2.71
Rh (0.3333, 0.6667, 0.4212)  3 Cr 2.52, 6 Rh 2.65, 3 Li 2.71
Rh (0.3333, 0.6667, 0.9121)  3 Cr 2.52, 6 Rh 2.65, 3 Li 2.71
Rh (0.6667, 0.3333, 0.0879)  3 Cr 2.52, 6 Rh 2.65, 3 Li 2.71
Rh (0.6667, 0.3333, 0.5788)  3 Cr 2.52, 6 Rh 2.65, 3 Li 2.71

***

8.
Entry from Alexandria via LeMat-Bulk: crystalline Li2CrRh at its relaxed geometry (GGA-PBEsol).

## Properties
Symmetry: P2/m (10)
DFT total energy, eV per atom: -5.3714
Formation energy, eV/atom: 0.207
M_tot, μB per cell: 3.05

Lattice parameters (Å, degrees): 2.7085 4.5307 4.4048 90.00 94.79 90.00
Last column: nearest neighbours and their distance in Å.
Atoms (fractional coordinates):
Li (0.2447, 0.0000, 0.2651)  3 Li 2.39-2.59, 2 Rh 2.60, 2 Cr 2.67
Li (0.7553, 0.0000, 0.7349)  3 Li 2.39-2.59, 2 Rh 2.60, 2 Cr 2.67
Cr (0.5000, 0.5000, 0.0000)  4 Rh 2.49-2.68, 4 Li 2.67, 2 Cr 2.71
Rh (0.0000, 0.5000, 0.5000)  4 Cr 2.49-2.68, 4 Li 2.60, 2 Rh 2.71

***

9.
Entry from Alexandria via LeMat-Bulk: crystalline LiCrRh2 at its relaxed geometry (GGA-PBEsol).

## Properties
Symmetry: Fm-3m (225)
DFT total energy, eV per atom: -7.2009
Formation energy, eV/atom: -0.080
M_tot, μB per cell: 4.40

Lattice parameters (Å, degrees): 5.7940 5.7940 5.7940 90.00 90.00 90.00
Last column: nearest neighbours and their distance in Å.
Atoms (fractional coordinates):
Li (0.0000, 0.0000, 0.0000)  8 Rh 2.51
Li (0.0000, 0.5000, 0.5000)  8 Rh 2.51
Li (0.5000, 0.0000, 0.5000)  8 Rh 2.51
Li (0.5000, 0.5000, 0.0000)  8 Rh 2.51
Cr (0.0000, 0.0000, 0.5000)  8 Rh 2.51
Cr (0.0000, 0.5000, 0.0000)  8 Rh 2.51
Cr (0.5000, 0.0000, 0.0000)  8 Rh 2.51
Cr (0.5000, 0.5000, 0.5000)  8 Rh 2.51
Rh (0.2500, 0.2500, 0.2500)  4 Cr 2.51, 4 Li 2.51
Rh (0.2500, 0.2500, 0.7500)  4 Cr 2.51, 4 Li 2.51
Rh (0.2500, 0.7500, 0.2500)  4 Cr 2.51, 4 Li 2.51
Rh (0.2500, 0.7500, 0.7500)  4 Cr 2.51, 4 Li 2.51
Rh (0.7500, 0.2500, 0.2500)  4 Cr 2.51, 4 Li 2.51
Rh (0.7500, 0.2500, 0.7500)  4 Cr 2.51, 4 Li 2.51
Rh (0.7500, 0.7500, 0.2500)  4 Cr 2.51, 4 Li 2.51
Rh (0.7500, 0.7500, 0.7500)  4 Cr 2.51, 4 Li 2.51

***

10.
Entry from Alexandria via LeMat-Bulk: crystalline LiCrRh2 at its relaxed geometry (GGA-PBEsol).

## Properties
Symmetry: P4mm (99)
DFT total energy, eV per atom: -6.8546
Formation energy, eV/atom: 0.267
M_tot, μB per cell: 0.79

Lattice parameters (Å, degrees): 2.6018 2.6018 7.8779 90.00 90.00 90.00
Last column: nearest neighbours and their distance in Å.
Atoms (fractional coordinates):
Li (0.0000, 0.0000, 0.0000)  4 Li 2.60, 4 Rh 2.67, 4 Cr 2.89
Cr (0.5000, 0.5000, 0.7172)  4 Rh 2.52, 4 Cr 2.60
Rh (0.0000, 0.0000, 0.4990)  4 Cr 2.52, 8 Rh 2.60-2.72
Rh (0.5000, 0.5000, 0.2448)  8 Rh 2.60-2.72, 4 Li 2.67

***

11.
Entry from Alexandria via LeMat-Bulk: crystalline LiCrRh2 at its relaxed geometry (GGA-PBEsol).

## Properties
Symmetry: P4mm (99)
DFT total energy, eV per atom: -6.9356
Formation energy, eV/atom: 0.186
M_tot, μB per cell: 1.32

Lattice parameters (Å, degrees): 3.0569 3.0569 5.3000 90.00 90.00 90.00
Last column: nearest neighbours and their distance in Å.
Atoms (fractional coordinates):
Li (0.0000, 0.0000, 0.0000)  5 Rh 2.37-2.55, 4 Cr 2.54
Cr (0.5000, 0.5000, 0.7483)  5 Rh 2.31-2.48, 4 Li 2.54
Rh (0.0000, 0.0000, 0.5182)  4 Cr 2.48, 2 Li 2.55-2.75
Rh (0.5000, 0.5000, 0.1845)  1 Cr 2.31, 4 Li 2.37

***

12.
Entry from Alexandria via LeMat-Bulk: crystalline LiCrRh2 at its relaxed geometry (GGA-PBEsol).

## Properties
Symmetry: P4/mmm (123)
DFT total energy, eV per atom: -7.1480
Formation energy, eV/atom: -0.027
M_tot, μB per cell: 1.55

Lattice parameters (Å, degrees): 4.1282 4.1282 2.8795 90.00 90.00 90.00
Last column: nearest neighbours and their distance in Å.
Atoms (fractional coordinates):
Li (0.0000, 0.0000, 0.0000)  8 Rh 2.52
Cr (0.5000, 0.5000, 0.0000)  8 Rh 2.52
Rh (0.0000, 0.5000, 0.5000)  4 Cr 2.52, 4 Li 2.52
Rh (0.5000, 0.0000, 0.5000)  4 Cr 2.52, 4 Li 2.52